[1]
## KIn3Hg12 (PBE)

Data for crystalline KIn3Hg12 at its relaxed geometry.

a b c (Å): 5.1183 5.1173 16.9198
angles (deg): 89.99 90.00 90.00
Last column: nearest neighbours and their distance in Å.
Positions (direct):
K  0.0000  0.0000  0.0000  12 Hg 3.52-3.62
In  0.0000  0.0001  0.2664  8 Hg 3.22-3.31
In  0.0000  0.0000  0.5000  12 Hg 3.24-3.62
In  0.0000  0.9999  0.7336  8 Hg 3.22-3.31
Hg  0.5000  0.5000  0.0000  8 Hg 3.52, 4 K 3.62
Hg  0.5000  0.5007  0.2638  8 Hg 3.25-3.28, 4 In 3.62
Hg  0.5000  0.5000  0.5000  8 Hg 3.24, 4 In 3.62
Hg  0.5000  0.4993  0.7362  8 Hg 3.25-3.28, 4 In 3.62
Hg  0.5000  0.0008  0.1428  8 Hg 3.28-3.62, 2 In 3.30, 2 K 3.52
Hg  0.5000  0.0004  0.3824  4 In 3.23-3.24, 4 Hg 3.24-3.25
Hg  0.5000  0.9996  0.6176  4 In 3.23-3.24, 4 Hg 3.24-3.25
Hg  0.5000  0.9992  0.8572  8 Hg 3.28-3.62, 2 In 3.30, 2 K 3.52
Hg  0.0000  0.5002  0.1426  8 Hg 3.28-3.62, 2 In 3.31, 2 K 3.52
Hg  0.0000  0.5001  0.3824  4 In 3.22-3.24, 4 Hg 3.24-3.25
Hg  0.0000  0.4999  0.6176  4 In 3.22-3.24, 4 Hg 3.24-3.25
Hg  0.0000  0.4998  0.8574  8 Hg 3.28-3.62, 2 In 3.31, 2 K 3.52

## Properties
SG	No. 123
crystal system	tetragonal
calculated density	10457	kg/m³
size of the total moment	0.000	μB/atom

[2]
## KInHg2 (PBE)

Data for crystalline KInHg2 at its relaxed geometry.

a b c (Å): 4.4451 3.5711 8.1439
angles (deg): 70.23 90.00 90.00
Last column: nearest neighbours and their distance in Å.
Positions (direct):
K  0.5000  0.7500  0.7500  8 Hg 3.57-3.59, 2 K 3.57, 2 In 3.85
Hg  0.0000  0.0259  0.0321  2 In 3.11, 1 Hg 3.43
Hg  0.0000  0.4741  0.4679  2 In 3.11, 1 Hg 3.43
In  0.5000  0.2500  0.2500  4 Hg 3.11

## Properties
SG	No. 10
crystal system	monoclinic
calculated density	7577	kg/m³
size of the total moment	0.000	μB/atom

[3]
## KInHg (PBE)

Data for crystalline KInHg at its relaxed geometry.

a b c (Å): 5.0688 8.4021 13.6937
angles (deg): 92.55 90.00 90.00
Last column: nearest neighbours and their distance in Å.
Positions (direct):
K  0.7500  0.5069  0.3782  5 Hg 3.61-3.66, 5 In 3.69-3.95
K  0.2500  0.0006  0.7095  5 Hg 3.37-3.53, 3 In 3.57-3.73
K  0.7500  0.9994  0.2905  5 Hg 3.37-3.53, 3 In 3.57-3.73
K  0.7500  0.6478  0.0702  5 Hg 3.51-3.58, 4 In 3.81-3.86
K  0.2500  0.4931  0.6218  5 Hg 3.61-3.66, 5 In 3.69-3.95
K  0.2500  0.3522  0.9298  5 Hg 3.51-3.58, 4 In 3.81-3.86
In  0.2500  0.9859  0.0839  4 Hg 3.02-3.28, 1 In 3.31
In  0.2500  0.8459  0.4625  4 Hg 3.04-3.14
In  0.7500  0.6693  0.7895  4 Hg 3.06-3.23, 1 In 3.31
In  0.7500  0.1541  0.5375  4 Hg 3.04-3.14
In  0.2500  0.3307  0.2105  4 Hg 3.06-3.23, 1 In 3.31
In  0.7500  0.0141  0.9161  4 Hg 3.02-3.28, 1 In 3.31
Hg  0.2500  0.7659  0.9032  5 In 3.02-3.28, 1 K 3.37
Hg  0.7500  0.2868  0.7552  3 In 3.14-3.25, 2 K 3.51
Hg  0.7500  0.7977  0.5804  4 In 3.04-3.10
Hg  0.7500  0.2341  0.0968  5 In 3.02-3.28, 1 K 3.37
Hg  0.2500  0.2023  0.4196  4 In 3.04-3.10
Hg  0.2500  0.7132  0.2448  3 In 3.14-3.25, 2 K 3.51

## Properties
SG	No. 11
crystal system	monoclinic
calculated density	6062	kg/m³
size of the total moment	0.000	μB/atom
ΔE to the lowest computed polymorph	0.0000	eV per atom

[4]
## KIn3Hg3 (PBE)

Data for crystalline KIn3Hg3 at its relaxed geometry.

a b c (Å): 8.9337 8.9337 8.1193
angles (deg): 56.62 56.62 60.00
Last column: nearest neighbours and their distance in Å.
Positions (direct):
K  0.3359  0.3359  0.9922  6 Hg 3.41-3.47, 6 In 3.71-3.78
K  0.6641  0.6641  0.0078  6 Hg 3.41-3.47, 6 In 3.71-3.78
In  0.4749  0.7751  0.6231  3 Hg 2.97-3.20, 2 In 3.28
In  0.7751  0.1269  0.6231  3 Hg 2.97-3.20, 2 In 3.28
In  0.1269  0.4749  0.6231  3 Hg 2.97-3.20, 2 In 3.28
In  0.8731  0.5251  0.3769  3 Hg 2.97-3.20, 2 In 3.28
In  0.2249  0.8731  0.3769  3 Hg 2.97-3.20, 2 In 3.28
In  0.5251  0.2249  0.3769  3 Hg 2.97-3.20, 2 In 3.28
Hg  0.2146  0.6726  0.1575  3 In 2.97-3.20, 2 Hg 3.12
Hg  0.9554  0.2146  0.1575  3 In 2.97-3.20, 2 Hg 3.12
Hg  0.6726  0.9554  0.1575  3 In 2.97-3.20, 2 Hg 3.12
Hg  0.3274  0.0446  0.8425  3 In 2.97-3.20, 2 Hg 3.12
Hg  0.0446  0.7854  0.8425  3 In 2.97-3.20, 2 Hg 3.12
Hg  0.7854  0.3274  0.8425  3 In 2.97-3.20, 2 Hg 3.12

## Properties
SG	No. 148
crystal system	trigonal
calculated density	7550	kg/m³
size of the total moment	0.000	μB/atom
ΔE to the lowest computed polymorph	0.0593	eV per atom

[5]
## KInHg4 (PBE)

Data for crystalline KInHg4 at its relaxed geometry.

a b c (Å): 6.2721 6.2721 6.2721
angles (deg): 60.00 60.00 60.00
Last column: nearest neighbours and their distance in Å.
Positions (direct):
Hg  0.1258  0.6247  0.6247  6 Hg 3.13-3.14
Hg  0.6247  0.6247  0.6247  6 Hg 3.13-3.14
Hg  0.6247  0.1258  0.6247  6 Hg 3.13-3.14
Hg  0.6247  0.6247  0.1258  6 Hg 3.13-3.14
In  0.2500  0.2500  0.2500  12 Hg 3.68, 4 K 3.84
K  0.0000  0.0000  0.0000  12 Hg 3.68, 4 In 3.84

## Properties
SG	No. 216
crystal system	cubic
calculated density	9101	kg/m³
size of the total moment	0.000	μB/atom
ΔE to the lowest computed polymorph	0.0487	eV per atom

[6]
## KInHg2 (PBE)

Data for crystalline KInHg2 at its relaxed geometry.

a b c (Å): 6.2807 6.2807 6.2807
angles (deg): 141.09 127.44 67.29
Last column: nearest neighbours and their distance in Å.
Positions (direct):
Hg  0.9736  0.9736  0.0000  2 Hg 3.15
Hg  0.7489  0.2489  0.5000  2 In 3.11, 2 Hg 3.15
In  0.5293  0.5293  0.0000  2 Hg 3.11
K  0.2482  0.7482  0.5000  8 Hg 3.48-3.65, 4 In 3.60-3.61

## Properties
SG	No. 44
crystal system	orthorhombic
calculated density	7576	kg/m³
size of the total moment	0.000	μB/atom

[7]
## K3In2Hg7 (PBE)

Data for crystalline K3In2Hg7 at its relaxed geometry.

a b c (Å): 4.4709 5.5059 15.9862
angles (deg): 99.92 90.00 90.00
Last column: nearest neighbours and their distance in Å.
Positions (direct):
K  0.5000  0.5000  0.0000  12 Hg 3.50-3.62
K  0.5000  0.6826  0.3651  8 Hg 3.60-3.82, 4 In 3.90
K  0.5000  0.3174  0.6349  8 Hg 3.60-3.82, 4 In 3.90
In  0.0000  0.8686  0.7372  5 Hg 2.99-3.04
In  0.0000  0.1314  0.2628  5 Hg 2.99-3.04
Hg  0.0000  0.4098  0.8195  2 In 3.04
Hg  0.0000  0.7723  0.5446  1 In 3.03, 2 Hg 3.09
Hg  0.0000  0.0000  0.0000  4 Hg 3.10
Hg  0.0000  0.5902  0.1805  2 In 3.04
Hg  0.5000  0.0684  0.1368  2 In 2.99, 2 Hg 3.10
Hg  0.5000  0.9316  0.8632  2 In 2.99, 2 Hg 3.10
Hg  0.0000  0.2277  0.4554  1 In 3.03, 2 Hg 3.09

## Properties
SG	No. 65
crystal system	orthorhombic
calculated density	7501	kg/m³
size of the total moment	0.000	μB/atom

[8]
## KIn2Hg2 (PBE)

Data for crystalline KIn2Hg2 at its relaxed geometry.

a b c (Å): 4.7605 4.7605 7.4909
angles (deg): 71.47 71.47 90.00
Last column: nearest neighbours and their distance in Å.
Positions (direct):
K  0.0000  0.0000  0.0000  8 Hg 3.67
Hg  0.3915  0.3915  0.2170  1 Hg 2.90, 4 In 3.04
Hg  0.6085  0.6085  0.7830  1 Hg 2.90, 4 In 3.04
In  0.7500  0.2500  0.5000  4 Hg 3.04, 4 In 3.37
In  0.2500  0.7500  0.5000  4 Hg 3.04, 4 In 3.37

## Properties
SG	No. 139
crystal system	tetragonal
calculated density	7335	kg/m³
size of the total moment	0.000	μB/atom
ΔE to the lowest computed polymorph	0.0053	eV per atom

[9]
## K2In6Hg9 (PBE)

Data for crystalline K2In6Hg9 at its relaxed geometry.

a b c (Å): 6.4531 6.4531 15.2012
angles (deg): 90.00 90.00 120.00
Last column: nearest neighbours and their distance in Å.
Positions (direct):
K  0.0000  0.0000  0.6761  6 In 3.73, 6 Hg 4.03
K  0.0000  0.0000  0.3239  6 In 3.73, 6 Hg 4.03
In  0.3333  0.6667  0.0000  6 Hg 3.12
In  0.6667  0.3333  0.0000  6 Hg 3.12
In  0.3333  0.6667  0.6659  6 Hg 3.13-3.18
In  0.6667  0.3333  0.6659  6 Hg 3.13-3.18
In  0.6667  0.3333  0.3341  6 Hg 3.13-3.18
In  0.3333  0.6667  0.3341  6 Hg 3.13-3.18
Hg  0.5000  0.0000  0.8352  4 In 3.12-3.18, 4 Hg 3.23
Hg  0.0000  0.5000  0.8352  4 In 3.12-3.18, 4 Hg 3.23
Hg  0.5000  0.5000  0.8352  4 In 3.12-3.18, 4 Hg 3.23
Hg  0.5000  0.0000  0.1648  4 In 3.12-3.18, 4 Hg 3.23
Hg  0.0000  0.5000  0.1648  4 In 3.12-3.18, 4 Hg 3.23
Hg  0.5000  0.5000  0.1648  4 In 3.12-3.18, 4 Hg 3.23
Hg  0.5000  0.0000  0.5000  4 In 3.13, 4 Hg 3.23
Hg  0.0000  0.5000  0.5000  4 In 3.13, 4 Hg 3.23
Hg  0.5000  0.5000  0.5000  4 In 3.13, 4 Hg 3.23

## Properties
SG	No. 191
crystal system	hexagonal
calculated density	7792	kg/m³
size of the total moment	0.000	μB/atom

[10]
## K2InHg (PBE)

Data for crystalline K2InHg at its relaxed geometry.

a b c (Å): 4.7275 5.6566 5.6566
angles (deg): 90.00 90.00 90.00
Last column: nearest neighbours and their distance in Å.
Positions (direct):
K  0.0000  0.0000  0.5000  4 Hg 3.69, 4 In 3.69, 4 K 4.00
K  0.0000  0.5000  0.0000  4 Hg 3.69, 4 In 3.69, 4 K 4.00
Hg  0.5000  0.5000  0.5000  8 K 3.69, 4 In 4.00
In  0.5000  0.0000  0.0000  8 K 3.69, 4 Hg 4.00

## Properties
SG	No. 123
crystal system	tetragonal
calculated density	4321	kg/m³
size of the total moment	0.000	μB/atom
ΔE to the lowest computed polymorph	0.1112	eV per atom

Per-record calculated total energy, eV per cell: -13.886; -5.055; -28.092; -21.016; -5.527; -4.841; -12.770; -7.926; -21.775; -5.412
Per-record DFT formation energy, meV/atom: -59; -154; -181; -41; -81; -100; -157; -150; -25; -44